Crystalline Pm5Ge3F at its relaxed geometry, computed with PBE-GGA.

Cell lengths 8.8204, 8.8204, 6.4755 Å; angles 90.00, 90.00, 120.00 degrees
With the nearest neighbours (Å) after each atom.
Space group P6_3/mcm (No. 193)
Symmetry-distinct sites (fractional):
Pm  0.0000  0.2511  0.2500  2 F 2.74, 2 Ge 3.02
Pm  0.3333  0.6667  0.0000  6 Ge 3.17, 2 Pm 3.24
Ge  0.0000  0.3893  0.7500  7 Pm 3.02-3.17
F  0.0000  0.0000  0.0000  6 Pm 2.74

Calculated values
* offset from the most stable computed form: 0.0000 eV/atom
* ΔE_f (raw): -1.2390 eV/atom
* magnetization: 0.0000 μB per atom
* DOS(E_F): 6.1 states/eV/f.u.